Crystalline Ac3La3Pm at its relaxed geometry. Source: Alexandria via LeMat-Bulk, functional PBE.

Structure (extended XYZ):
```
14
Lattice="10.281 0.000 0.000 -5.140 8.903 0.000 0.000 0.000 6.195" Properties=species:S:1:pos:R:3 pbc="T T T"
Ac -1.442 4.175 1.549
Ac -0.804 8.065 1.549
Ac 2.894 3.336 4.646
Ac 2.246 5.567 1.549
Ac 5.945 0.838 4.646
Ac 6.582 4.729 4.646
La -0.731 2.076 4.646
La -2.977 8.499 4.646
La 1.432 1.671 1.549
La 3.708 7.232 4.646
La 8.117 0.404 1.549
La 5.872 6.828 1.549
Pm 0.000 5.936 4.646
Pm 5.140 2.968 1.549
```

Calculated values
The raw total energy is -63.1 eV per cell. The value obtained for the total magnetization is 0.00 μB/atom. The space group is No. 176.

***

Crystalline AcLa2Pm at its relaxed geometry. Source: Alexandria via LeMat-Bulk, functional PBE.

Structure (extended XYZ):
```
4
Lattice="1.898 1.096 12.311 -1.898 1.096 12.311 0.000 -2.192 12.311" Properties=species:S:1:pos:R:3 pbc="T T T"
Ac 0.000 0.000 0.000
La 0.000 0.000 9.131
La 0.000 0.000 27.800
Pm 0.000 0.000 18.466
```

Calculated values
The raw total energy is -18.6 eV per cell. The value obtained for the total magnetization is 0.00 μB/atom. The space group is No. 166. The value obtained for the polymorph energy (0 for the lowest one) is 0.017 eV/atom.

***

Crystalline Ac3LaPm at its relaxed geometry. Source: Alexandria via LeMat-Bulk, functional PBE.

Structure (extended XYZ):
```
10
Lattice="4.405 -7.641 0.000 4.405 7.641 0.000 0.000 0.000 6.521" Properties=species:S:1:pos:R:3 pbc="T T T"
Ac 2.608 1.513 4.890
Ac 4.405 4.624 4.890
Ac 2.608 -1.513 1.630
Ac 6.201 1.513 4.890
Ac 4.405 -4.624 1.630
Ac 6.201 -1.513 1.630
La 0.000 0.000 0.000
La 0.000 0.000 3.260
Pm 4.405 2.543 1.630
Pm 4.405 -2.543 4.890
```

Calculated values
The raw total energy is -40.7 eV per cell. The value obtained for the total magnetization is 0.00 μB/atom. The space group is No. 63. The value obtained for the polymorph energy (0 for the lowest one) is 0.295 eV/atom.

***

Crystalline Ac2La6Pm5 at its relaxed geometry. Source: Alexandria via LeMat-Bulk, functional PBE.

Structure (extended XYZ):
```
26
Lattice="12.364 0.000 0.000 0.000 21.150 0.000 0.000 0.000 3.742" Properties=species:S:1:pos:R:3 pbc="T T T"
Ac 2.053 4.669 0.000
Ac 4.129 15.244 0.000
Ac 8.235 5.906 0.000
Ac 10.310 16.481 0.000
La 0.627 19.541 0.000
La 0.864 13.481 0.000
La 2.321 8.043 1.871
La 3.861 18.618 1.871
La 5.318 2.906 0.000
La 5.554 8.966 0.000
La 6.809 12.184 0.000
La 7.046 18.244 0.000
La 8.502 2.532 1.871
La 10.043 13.107 1.871
La 11.499 7.669 0.000
La 11.736 1.609 0.000
Pm 0.000 10.575 1.871
Pm 1.155 16.518 1.871
Pm 2.566 1.183 1.871
Pm 3.616 11.758 1.871
Pm 5.027 5.943 1.871
Pm 6.182 0.000 1.871
Pm 7.336 15.207 1.871
Pm 8.747 9.391 1.871
Pm 9.798 19.966 1.871
Pm 11.209 4.632 1.871
```

Calculated values
The raw total energy is -120.6 eV per cell. The value obtained for the total magnetization is 0.00 μB/atom. The space group is No. 55.

***

Crystalline AcLa2Pm12 at its relaxed geometry. Source: Alexandria via LeMat-Bulk, functional PBE.

Structure (extended XYZ):
```
30
Lattice="6.599 0.000 0.000 0.000 6.599 0.000 0.000 0.000 25.982" Properties=species:S:1:pos:R:3 pbc="T T T"
Ac 1.650 4.949 0.000
Ac 4.949 1.650 0.000
La 1.650 4.949 7.038
La 1.650 4.949 18.943
La 4.949 1.650 7.038
La 4.949 1.650 18.943
Pm 0.425 3.724 3.144
Pm 0.425 6.174 22.837
Pm 0.541 3.840 14.559
Pm 0.541 6.058 11.422
Pm 1.650 1.650 5.729
Pm 1.650 1.650 8.873
Pm 1.650 1.650 17.109
Pm 1.650 1.650 20.253
Pm 2.759 3.840 11.422
Pm 2.759 6.058 14.559
Pm 2.875 3.724 22.837
Pm 2.875 6.174 3.144
Pm 3.724 0.425 22.837
Pm 3.724 2.875 3.144
Pm 3.840 0.541 11.422
Pm 3.840 2.759 14.559
Pm 4.949 4.949 5.729
Pm 4.949 4.949 8.873
Pm 4.949 4.949 17.109
Pm 4.949 4.949 20.253
Pm 6.058 0.541 14.559
Pm 6.058 2.759 11.422
Pm 6.174 0.425 3.144
Pm 6.174 2.875 22.837
```

Calculated values
The raw total energy is -133.9 eV per cell. The value obtained for the total magnetization is 0.00 μB/atom. The space group is No. 125.

***

Crystalline Ac3La2Pm5 at its relaxed geometry. Source: Alexandria via LeMat-Bulk, functional PBE.

Structure (extended XYZ):
```
20
Lattice="8.448 -5.326 0.000 8.448 5.326 0.000 -8.422 0.000 8.458" Properties=species:S:1:pos:R:3 pbc="T T T"
Ac 2.132 4.071 6.344
Ac 1.312 1.274 3.799
Ac -2.899 -1.274 8.028
Ac 11.374 1.274 0.430
Ac 7.163 -1.274 4.659
Ac 6.343 -4.071 2.115
La -0.428 1.330 7.196
La 4.691 1.330 5.491
La 3.783 -1.330 2.967
La 8.902 -1.330 1.262
Pm 3.839 3.960 2.968
Pm 2.970 1.395 0.416
Pm 8.846 3.960 1.261
Pm -1.241 -1.395 4.646
Pm 6.343 1.407 2.115
Pm 2.132 -1.407 6.344
Pm 9.715 1.395 3.813
Pm -0.372 -3.960 7.197
Pm 5.504 -1.395 8.042
Pm 4.635 -3.960 5.491
```

Calculated values
The raw total energy is -91.2 eV per cell. The value obtained for the total magnetization is 0.00 μB/atom. The space group is No. 15.

***

Crystalline Ac2La3Pm6 at its relaxed geometry. Source: Alexandria via LeMat-Bulk, functional PBE.

Structure (extended XYZ):
```
11
Lattice="6.218 -1.879 0.000 6.218 1.879 0.000 -0.040 0.000 17.420" Properties=species:S:1:pos:R:3 pbc="T T T"
Ac 2.245 0.000 4.725
Ac 10.150 0.000 12.695
La 0.000 0.000 0.000
La 1.088 0.000 11.050
La 11.308 0.000 6.370
Pm 3.361 0.000 15.902
Pm 4.490 0.000 9.475
Pm 5.593 0.000 3.115
Pm 6.802 0.000 14.305
Pm 7.905 0.000 7.945
Pm 9.034 0.000 1.518
```

Calculated values
The raw total energy is -51.2 eV per cell. The value obtained for the total magnetization is 0.00 μB/atom. The space group is No. 12.

***

Crystalline Ac3La5Pm3 at its relaxed geometry. Source: Alexandria via LeMat-Bulk, functional PBE.

Structure (extended XYZ):
```
11
Lattice="11.811 0.000 0.000 -5.905 10.229 0.000 0.000 0.000 3.642" Properties=species:S:1:pos:R:3 pbc="T T T"
Ac -3.536 6.125 0.000
Ac 2.369 4.104 0.000
Ac 7.073 0.000 0.000
La -1.954 3.384 1.821
La 3.908 0.000 1.821
La 0.000 6.819 1.821
La 5.905 3.410 1.821
La 3.952 6.844 1.821
Pm -4.993 8.649 1.821
Pm 0.912 1.580 1.821
Pm 9.987 0.000 1.821
```

Calculated values
The raw total energy is -48.0 eV per cell. The value obtained for the total magnetization is 0.00 μB/atom. The space group is No. 189.

***

Crystalline Ac2LaPm at its relaxed geometry. Source: Alexandria via LeMat-Bulk, functional PBE.

Structure (extended XYZ):
```
4
Lattice="3.868 0.000 0.000 0.000 3.868 0.000 0.000 0.000 10.723" Properties=species:S:1:pos:R:3 pbc="T T T"
Ac 0.000 0.000 2.636
Ac 0.000 0.000 8.087
La 1.934 1.934 5.362
Pm 1.934 1.934 0.000
```

Calculated values
The raw total energy is -17.8 eV per cell. The value obtained for the total magnetization is 0.00 μB/atom. The space group is No. 123. The value obtained for the polymorph energy (0 for the lowest one) is 0.005 eV/atom.

***

Crystalline Ac2LaPm at its relaxed geometry. Source: Alexandria via LeMat-Bulk, functional PBE.

Structure (extended XYZ):
```
4
Lattice="3.866 -5.350 0.000 3.866 5.350 0.000 0.000 0.000 3.877" Properties=species:S:1:pos:R:3 pbc="T T T"
Ac 1.933 2.675 0.000
Ac 1.933 -2.675 0.000
La 0.000 0.000 1.938
Pm 3.866 0.000 1.938
```

Calculated values
The raw total energy is -17.8 eV per cell. The value obtained for the total magnetization is 0.00 μB/atom. The space group is No. 65. The value obtained for the polymorph energy (0 for the lowest one) is 0.006 eV/atom.

***

Crystalline Ac2La3Pm3 at its relaxed geometry. Source: Alexandria via LeMat-Bulk, functional PBE.

Structure (extended XYZ):
```
8
Lattice="-2.671 2.679 10.589 2.671 -2.679 10.589 2.671 2.679 -10.589" Properties=species:S:1:pos:R:3 pbc="T T T"
Ac 0.000 0.000 5.277
Ac 0.000 0.000 15.902
La 0.000 0.000 0.000
La 2.671 0.000 8.064
La 0.000 2.679 2.525
Pm 2.671 0.000 2.560
Pm 0.000 0.000 10.589
Pm 0.000 2.679 8.030
```

Calculated values
The raw total energy is -37.0 eV per cell. The value obtained for the total magnetization is 0.00 μB/atom. The space group is No. 71.

***

Crystalline Ac2La7Pm2 at its relaxed geometry. Source: Alexandria via LeMat-Bulk, functional PBE.

Structure (extended XYZ):
```
11
Lattice="6.510 -3.653 0.000 6.510 3.653 0.000 -4.138 0.000 8.829" Properties=species:S:1:pos:R:3 pbc="T T T"
Ac 1.087 0.000 4.035
Ac 7.794 0.000 4.794
La 0.000 0.000 0.000
La -0.323 1.642 7.336
La -0.323 -1.642 7.336
La 5.746 0.000 1.488
La 3.135 0.000 7.341
La 9.204 1.642 1.492
La 9.204 -1.642 1.492
Pm 4.441 1.835 4.414
Pm 4.441 -1.835 4.414
```

Calculated values
The raw total energy is -50.6 eV per cell. The value obtained for the total magnetization is 0.00 μB/atom. The space group is No. 12. The value obtained for the polymorph energy (0 for the lowest one) is 0.015 eV/atom.

***

Crystalline Ac12La2Pm5 at its relaxed geometry. Source: Alexandria via LeMat-Bulk, functional PBE.

Structure (extended XYZ):
```
19
Lattice="8.444 -5.146 0.000 8.444 5.146 0.000 -0.182 0.000 9.242" Properties=species:S:1:pos:R:3 pbc="T T T"
Ac 1.030 0.000 3.101
Ac 6.209 3.127 3.057
Ac 5.749 1.876 7.082
Ac 10.498 3.127 6.186
Ac 7.019 0.000 1.147
Ac 10.958 1.876 2.160
Ac 5.749 -1.876 7.082
Ac 9.688 0.000 8.096
Ac 6.209 -3.127 3.057
Ac 10.958 -1.876 2.160
Ac 10.498 -3.127 6.186
Ac 15.677 0.000 6.142
La 8.444 3.442 0.000
La 8.444 -3.442 0.000
Pm 3.367 0.000 0.260
Pm 4.499 0.000 4.002
Pm 8.353 0.000 4.621
Pm 12.208 0.000 5.240
Pm 13.340 0.000 8.983
```

Calculated values
The raw total energy is -80.2 eV per cell. The value obtained for the total magnetization is 0.00 μB/atom. The space group is No. 12.

***

Crystalline Ac3LaPm at its relaxed geometry. Source: Alexandria via LeMat-Bulk, functional PBE.

Structure (extended XYZ):
```
10
Lattice="10.042 -1.947 0.000 10.042 1.947 0.000 -2.905 0.000 10.565" Properties=species:S:1:pos:R:3 pbc="T T T"
Ac -0.684 0.000 2.543
Ac 1.591 0.000 8.958
Ac 6.672 0.000 4.806
Ac 10.507 0.000 5.760
Ac 15.588 0.000 1.607
Ac 17.863 0.000 8.022
La 5.240 0.000 9.994
La 11.939 0.000 0.572
Pm 3.018 0.000 3.725
Pm 14.161 0.000 6.841
```

Calculated values
The raw total energy is -43.7 eV per cell. The value obtained for the total magnetization is 0.00 μB/atom. The space group is No. 12. The value obtained for the polymorph energy (0 for the lowest one) is 0.000 eV/atom.

***

Crystalline Ac3La8Pm3 at its relaxed geometry. Source: Alexandria via LeMat-Bulk, functional PBE.

Structure (extended XYZ):
```
14
Lattice="-2.922 6.744 6.785 2.922 -6.744 6.785 2.922 6.744 -6.785" Properties=species:S:1:pos:R:3 pbc="T T T"
Ac 0.000 0.000 0.000
Ac 0.000 0.000 3.830
Ac 0.000 0.000 9.740
La 2.922 -1.631 1.879
La 2.922 -3.174 4.832
La 2.922 1.631 1.879
La 0.000 3.571 1.953
La 2.922 3.174 4.832
La 0.000 5.114 4.906
La 0.000 9.918 1.953
La 0.000 8.375 4.906
Pm 2.922 4.672 0.000
Pm 0.000 6.744 0.000
Pm 0.000 2.072 6.785
```

Calculated values
The raw total energy is -64.3 eV per cell. The value obtained for the total magnetization is 0.00 μB/atom. The space group is No. 71. The value obtained for the polymorph energy (0 for the lowest one) is 0.058 eV/atom.

***

Crystalline Ac4LaPm3 at its relaxed geometry. Source: Alexandria via LeMat-Bulk, functional PBE.

Structure (extended XYZ):
```
8
Lattice="-1.862 6.098 7.078 1.862 -6.098 7.078 1.862 6.098 -7.078" Properties=species:S:1:pos:R:3 pbc="T T T"
Ac 1.862 -3.095 5.215
Ac 0.000 3.003 1.863
Ac 1.862 3.095 5.215
Ac 0.000 9.193 1.863
La 0.000 6.098 0.000
Pm 1.862 0.000 0.000
Pm 0.000 0.000 3.818
Pm 0.000 0.000 10.338
```

Calculated values
The raw total energy is -34.5 eV per cell. The value obtained for the total magnetization is 0.00 μB/atom. The space group is No. 71.

***

Crystalline AcLa2Pm at its relaxed geometry. Source: Alexandria via LeMat-Bulk, functional PBE.

Structure (extended XYZ):
```
4
Lattice="4.399 0.000 0.000 0.000 4.399 0.000 0.000 0.000 7.888" Properties=species:S:1:pos:R:3 pbc="T T T"
Ac 0.000 0.000 0.000
La 2.199 2.199 2.216
La 2.199 2.199 5.672
Pm 0.000 0.000 3.944
```

Calculated values
The raw total energy is -18.3 eV per cell. The value obtained for the total magnetization is 0.00 μB/atom. The space group is No. 123. The value obtained for the polymorph energy (0 for the lowest one) is 0.087 eV/atom.

***

Crystalline Ac19La6Pm4 at its relaxed geometry. Source: Alexandria via LeMat-Bulk, functional PBE.

Structure (extended XYZ):
```
29
Lattice="-6.799 6.799 6.799 6.799 -6.799 6.799 6.799 6.799 -6.799" Properties=species:S:1:pos:R:3 pbc="T T T"
Ac 0.000 0.000 0.000
Ac 3.594 0.000 0.000
Ac 10.004 0.000 0.000
Ac 5.945 3.098 -2.950
Ac 9.749 -0.854 3.701
Ac 3.098 -2.950 5.945
Ac 0.000 3.594 0.000
Ac 0.000 0.000 3.594
Ac 3.850 0.854 3.701
Ac 3.701 3.850 0.854
Ac 7.653 3.098 2.950
Ac 0.854 3.701 3.850
Ac 3.701 9.749 -0.854
Ac -2.950 5.945 3.098
Ac 0.000 10.004 0.000
Ac 0.000 0.000 10.004
Ac 3.098 2.950 7.653
Ac 2.950 7.653 3.098
Ac -0.854 3.701 9.749
La 6.799 1.535 0.000
La 6.799 0.000 5.264
La 5.264 6.799 0.000
La 1.535 0.000 6.799
La 0.000 6.799 1.535
La 0.000 5.264 6.799
Pm 2.398 2.398 -2.398
Pm 2.398 -2.398 2.398
Pm -2.398 2.398 2.398
Pm 4.401 4.401 4.401
```

Calculated values
The raw total energy is -117.8 eV per cell. The value obtained for the total magnetization is 0.00 μB/atom. The space group is No. 197.

***

Crystalline Ac4LaPm5 at its relaxed geometry. Source: Alexandria via LeMat-Bulk, functional PBE.

Structure (extended XYZ):
```
10
Lattice="8.796 -1.885 0.000 8.796 1.885 0.000 -0.079 0.000 12.187" Properties=species:S:1:pos:R:3 pbc="T T T"
Ac 0.593 0.000 3.026
Ac 5.836 0.000 3.057
Ac 11.677 0.000 9.130
Ac 16.920 0.000 9.160
La 8.756 0.000 6.093
Pm 3.007 0.000 0.423
Pm 2.986 0.000 5.636
Pm 8.796 0.000 0.000
Pm 14.527 0.000 6.551
Pm 14.506 0.000 11.763
```

Calculated values
The raw total energy is -43.3 eV per cell. The value obtained for the total magnetization is 0.00 μB/atom. The space group is No. 12.

***

Crystalline AcLaPm4 at its relaxed geometry. Source: Alexandria via LeMat-Bulk, functional PBE.

Structure (extended XYZ):
```
6
Lattice="0.000 4.817 4.817 4.817 0.000 4.817 4.817 4.817 0.000" Properties=species:S:1:pos:R:3 pbc="T T T"
Ac 0.000 0.000 0.000
La 7.226 7.226 7.226
Pm 3.619 3.619 3.619
Pm 6.016 6.016 3.619
Pm 6.016 3.619 6.016
Pm 3.619 6.016 6.016
```

Calculated values
The raw total energy is -26.7 eV per cell. The value obtained for the total magnetization is 0.00 μB/atom. The space group is No. 216. The value obtained for the polymorph energy (0 for the lowest one) is 0.193 eV/atom.